Record 1
Here is an optimized crystal structure of LuReNi from the Open Quantum Materials Database. Energies are from GGA-PBE.

Cell: 6.1626 6.1626 6.1626 Å, 90.00 90.00 90.00°
Last column: nearest neighbours and their distance in Å.
Space group F-43m (No. 216)
Asymmetric unit:
Lu: 0.0000 0.0000 0.0000  4 Re 2.67
Re: 0.2500 0.2500 0.2500  4 Ni 2.67, 4 Lu 2.67
Ni: 0.0000 0.0000 0.5000  4 Re 2.67

Results
Energy above the most stable polymorph in this dataset, meV per atom: 0
Calculated total energy, Ry per atom: -0.491
Spin magnetization, μB per formula unit: 2.15
Energy of formation, eV/atom: 0.83

---

Record 2
Here is an optimized crystal structure of BaSnIr2 from the Open Quantum Materials Database. Energies are from GGA-PBE.

Cell: 4.3593 7.3983 5.9664 Å, 90.00 90.00 90.00°
Last column: nearest neighbours and their distance in Å.
Space group Pmn2_1 (No. 31)
Asymmetric unit:
Ba: 0.0000 0.0733 0.0000  7 Ir 3.37-3.67, 3 Sn 3.46-3.55
Sn: 0.0000 0.6326 0.2367  6 Ir 2.67-2.97
Ir: 0.0000 0.3253 0.4700  3 Ir 2.61-2.77, 3 Sn 2.67-2.72
Ir: 0.0000 0.6336 0.7345  3 Ir 2.61-2.77

Results
Calculated total energy, Ry per atom: -0.441
Spin magnetization, μB per formula unit: 0.01

---

Record 3
Here is an optimized crystal structure of Hf4SiN3 from the Open Quantum Materials Database. Energies are from GGA-PBE.

Cell: 3.1994 3.1994 23.7786 Å, 90.00 90.00 120.00°
Last column: nearest neighbours and their distance in Å.
Space group P6_3/mmc (No. 194)
Asymmetric unit:
Hf: 0.0000 0.0000 0.1638  3 N 2.25
Hf: 0.3333 0.6667 0.0562  6 N 2.24-2.28
Si: 0.3333 0.6667 0.2500  6 Hf 2.76
N: 0.0000 0.0000 0.0000  6 Hf 2.28
N: 0.3333 0.6667 0.6096  6 Hf 2.24-2.25

Results
Calculated total energy, Ry per atom: -0.751
Spin magnetization, μB per formula unit: 0.00

---

Record 4
Here is an optimized crystal structure of Sm2Y2CI3Br2 from the Open Quantum Materials Database. Energies are from GGA-PBE.

Cell: 18.7600 3.9717 8.6947 Å, 90.00 102.17 90.00°
Last column: nearest neighbours and their distance in Å.
Space group C2/m (No. 12)
Asymmetric unit:
Sm: 0.0007 0.0000 0.3061  2 C 2.61
Y: 0.1319 0.5000 0.5665  1 C 2.42
C: 0.0000 0.5000 0.5000  2 Y 2.42, 4 Sm 2.61
I: 0.0000 0.5000 0.0000  4 Sm 3.32
I: 0.1727 0.0000 0.3251  2 Y 3.10, 1 Sm 3.20
Br: 0.1594 0.0000 0.8129  2 Y 2.89, 1 Sm 2.96

Results
Energy above the most stable polymorph in this dataset, meV per atom: 0
Calculated total energy, Ry per atom: -0.383
Spin magnetization, μB per formula unit: 0.28

---

Record 5
Here is an optimized crystal structure of YZn2Ni from the Open Quantum Materials Database. Energies are from GGA-PBE.

Cell: 3.9840 4.3749 3.9849 Å, 90.00 90.00 90.00°
Last column: nearest neighbours and their distance in Å.
Space group Pmm2 (No. 25)
Asymmetric unit:
Y: 0.0000 0.0000 0.0000  4 Ni 2.81-2.82, 8 Zn 2.96
Zn: 0.0000 0.5000 0.5000  4 Zn 2.80-2.83, 4 Ni 2.96, 4 Y 2.96
Zn: 0.5000 0.5000 0.0046  4 Zn 2.80-2.83, 4 Ni 2.95-2.97, 4 Y 2.96
Ni: 0.5000 0.0000 0.5009  4 Y 2.81-2.82, 8 Zn 2.95-2.97

Results
Calculated total energy, Ry per atom: -0.280
Spin magnetization, μB per formula unit: 0.00
Energy of formation, eV/atom: -0.17

---

Record 6
Here is an optimized crystal structure of LaZrNi4 from the Open Quantum Materials Database. Energies are from GGA-PBE.

Cell: 7.1293 7.1293 7.1293 Å, 90.00 90.00 90.00°
Last column: nearest neighbours and their distance in Å.
Space group F-43m (No. 216)
Asymmetric unit:
La: 0.0000 0.0000 0.0000  12 Ni 2.96, 4 Zr 3.09
Zr: 0.2500 0.2500 0.2500  12 Ni 2.95, 4 La 3.09
Ni: 0.1241 0.1241 0.6241  6 Ni 2.50-2.54

Results
Calculated total energy, Ry per atom: -0.458
Spin magnetization, μB per formula unit: 0.01
Energy of formation, eV/atom: -0.27

---

What is the calculated total energy in the fifth record?
-0.280 Ry per atom